No. 1
The following is a PBE-GGA calculation of SmDy5Tm6 after structural relaxation, from the Alexandria database.

Values from the calculation:
symmetry	No. 71
formation energy	23	meV per atom

Cell lengths 9.3188, 9.3188, 4.9770 Å; angles 105.48, 105.48, 106.81 degrees
Element x y z (fractional)
Dy 0.1674 0.8326 0.5000
Tm 0.2512 0.2512 0.7511
Dy 0.6668 0.3332 0.0000
Tm 0.4174 0.0837 0.2505
Tm 0.5826 0.9163 0.7495
Tm 0.0837 0.4174 0.2505
Dy 0.5000 0.5000 0.5000
Dy 0.3332 0.6668 0.0000
Tm 0.7488 0.7488 0.2489
Sm 0.0000 0.0000 0.0000
Dy 0.8326 0.1674 0.5000
Tm 0.9163 0.5826 0.7495



No. 2
The following is a PBE-GGA calculation of LiThTeN after structural relaxation, from the Alexandria database.

Values from the calculation:
symmetry	No. 107
formation energy from raw total energies	-1.005	eV per atom

Cell lengths 3.5044, 3.5044, 6.7707 Å; angles 105.00, 105.00, 90.00 degrees
Element x y z (fractional)
Th 0.8851 0.8851 0.7703
N 0.3443 0.3443 0.6887
Te 0.5937 0.5937 0.1873
Li 0.1890 0.1890 0.3779



No. 3
The following is a PBE-GGA calculation of La4BiRu after structural relaxation, from the Alexandria database.

Values from the calculation:
symmetry	No. 15
relative energy among the computed polymorphs	0.028	eV per atom
formation energy	-455	meV per atom

Cell lengths 6.2413, 8.0203, 8.7002 Å; angles 105.05, 111.04, 89.97 degrees
Element x y z (fractional)
Bi 0.8700 0.7500 0.0000
Ru 0.0000 0.5000 0.5000
La 0.5424 0.0606 0.8343
Bi 0.1300 0.2500 0.0000
La 0.0752 0.1437 0.3628
La 0.9248 0.8563 0.6372
Ru 0.5000 0.0000 0.5000
La 0.2920 0.5604 0.8345
La 0.7127 0.3566 0.6376
La 0.2873 0.6434 0.3624
La 0.4576 0.9394 0.1657
La 0.7080 0.4396 0.1655



No. 4
The following is a PBE-GGA calculation of PaSb4O12 after structural relaxation, from the Alexandria database.

Values from the calculation:
symmetry	No. 139
formation energy from raw total energies	-1.642	eV per atom

Cell lengths 6.8255, 6.8255, 6.8255 Å; angles 108.31, 111.88, 108.25 degrees
Element x y z (fractional)
O 0.5796 0.2669 0.3126
O 0.0457 0.7331 0.3126
Sb 0.0000 0.5000 0.0000
Sb 0.5000 0.5000 0.5000
O 0.2916 0.4996 0.2080
O 0.7084 0.5004 0.7920
O 0.2916 0.0837 0.7920
O 0.1876 0.2676 0.4553
O 0.4204 0.7331 0.6874
O 0.9543 0.2669 0.6874
O 0.8124 0.7324 0.5447
O 0.8124 0.2676 0.0800
Sb 0.5000 0.0000 0.0000
Sb 0.0000 0.0000 0.5000
O 0.7084 0.9163 0.2080
O 0.1876 0.7324 0.9200
Pa 0.0000 0.5000 0.5000



No. 5
The following is a PBE-GGA calculation of Ca2MnCr after structural relaxation, from the Alexandria database.

Values from the calculation:
symmetry	No. 123
relative energy among the computed polymorphs	0.290	eV per atom
formation energy	633	meV per atom

Cell lengths 8.3602, 5.3008, 3.6932 Å; angles 90.04, 63.73, 129.37 degrees
Element x y z (fractional)
Ca 0.0000 0.0000 0.0000
Ca 0.5000 0.0000 0.5000
Cr 0.0000 0.5000 0.5000
Mn 0.5000 0.5000 0.0000



No. 6
The following is a PBE-GGA calculation of LiGdSn2 after structural relaxation, from the Alexandria database.

Values from the calculation:
symmetry	No. 166
formation energy	-44	meV per atom

Cell lengths 3.3769, 3.3769, 11.1236 Å; angles 81.27, 81.27, 60.00 degrees
Element x y z (fractional)
Sn 0.9041 0.9041 0.2878
Sn 0.0959 0.0959 0.7122
Li 0.5000 0.5000 0.5000
Gd 0.0000 0.0000 0.0000



| no. | energy (eV/atom) |
| --- | --- |
| 1 | -4.5238 |
| 2 | -6.2048 |
| 3 | -5.9332 |
| 4 | -6.6700 |
| 5 | -5.0663 |
| 6 | -6.0442 |